No. 1
meta-GGA SCAN LiTcW2, PBEsol geometry; formation energy = 0.44 eV per atom; ρ = 13.47 Mg/m³; symmetry = No. 65; DOS(E_F) = 2.3 states/eV/cell; raw total energy = -1.60822 Ha/atom
1.0
2.658 -4.130 0.000
2.658 4.130 0.000
0.000 0.000 2.653
Li Tc W
1 1 2
direct
0.000 0.000 0.000 Li
0.500 0.500 0.000 Tc
0.000 0.500 0.500 W
0.500 0.000 0.500 W

---

No. 2
meta-GGA SCAN LiTcW2, PBEsol geometry; formation energy = 0.37 eV per atom; ρ = 13.94 Mg/m³; symmetry = No. 99; DOS(E_F) = 3.6 states/eV/cell; raw total energy = -1.61078 Ha/atom
1.0
3.174 0.000 0.000
0.000 3.174 0.000
0.000 0.000 5.586
Li Tc W
1 1 2
direct
0.000 0.000 0.000 Li
0.500 0.500 0.222 Tc
0.000 0.000 0.489 W
0.500 0.500 0.764 W

---

No. 3
meta-GGA SCAN LiTc2W, PBEsol geometry; formation energy = 0.21 eV per atom; ρ = 11.51 Mg/m³; symmetry = No. 71; DOS(E_F) = 2.4 states/eV/cell; raw total energy = -1.29854 Ha/atom
1.0
-1.520 2.194 4.184
1.520 -2.194 4.184
1.520 2.194 -4.184
Li Tc W
1 2 1
direct
0.000 0.000 0.000 Li
0.258 0.758 0.500 Tc
0.742 0.242 0.500 Tc
0.500 0.500 0.000 W

---

No. 4
meta-GGA SCAN LiTcW, PBEsol geometry; formation energy = 0.29 eV per atom; ρ = 10.73 Mg/m³; symmetry = No. 42; DOS(E_F) = 1.9 states/eV/cell; raw total energy = -1.30171 Ha/atom
1.0
0.000 2.170 6.897
1.493 0.000 6.897
1.493 2.170 0.000
Li Tc W
1 1 1
direct
0.000 0.000 0.000 Li
0.334 0.334 0.666 Tc
0.676 0.676 0.324 W

---

No. 5
meta-GGA SCAN LiTc2W, PBEsol geometry; formation energy = 0.12 eV per atom; ρ = 11.71 Mg/m³; symmetry = No. 225; DOS(E_F) = 3.8 states/eV/cell; raw total energy = -1.30184 Ha/atom
1.0
0.000 3.015 3.015
3.015 0.000 3.015
3.015 3.015 0.000
Li Tc W
1 2 1
direct
0.000 0.000 0.000 Li
0.250 0.250 0.250 Tc
0.750 0.750 0.750 Tc
0.500 0.500 0.500 W

---

No. 6
meta-GGA SCAN LiTcW2, PBEsol geometry; formation energy = 0.57 eV per atom; ρ = 12.60 Mg/m³; symmetry = No. 123; DOS(E_F) = 3.0 states/eV/cell; raw total energy = -1.60369 Ha/atom
1.0
2.709 0.000 0.000
0.000 2.709 0.000
0.000 0.000 8.489
Li Tc W
1 1 2
direct
0.000 0.000 0.000 Li
0.000 0.000 0.500 Tc
0.500 0.500 0.273 W
0.500 0.500 0.727 W

---

- Which of these has the lowest raw total energy?
  number 2